1.
VASP calculation (PBE) on a relaxed structure of PrBeZn2Ru2.

POSCAR file:
```
PrBeZn2Ru2
1.0
4.3302 0.0000 0.0000
0.0000 4.3302 0.0000
0.0000 0.0000 5.4921
Pr Be Zn Ru
1 1 2 2
direct
0.0000 0.0000 0.5000 Pr
0.0000 0.0000 0.0000 Be
0.5000 0.5000 0.7385 Zn
0.5000 0.5000 0.2615 Zn
0.5000 0.0000 0.0000 Ru
0.0000 0.5000 0.0000 Ru
```

Output
Magnetic moment = 0.0 μB per formula unit
Final energy = -30.474 eV for the cell shown
Energy of formation = -0.9 eV per formula unit
Fermi-level density of states = 1.023 states/eV per atom

2.
VASP calculation (PBE) on a relaxed structure of Tm8GeBi2.

POSCAR file:
```
Tm8GeBi2
1.0
-3.0239 2.9803 -0.4198
-5.1319 -4.5884 4.3913
4.6506 2.7504 7.7070
Tm Ge Bi
8 1 2
direct
0.4075 0.4614 0.8150 Tm
0.6527 0.0456 0.3053 Tm
0.7923 0.6340 0.5847 Tm
0.0147 0.2326 0.0293 Tm
0.2077 0.3660 0.4153 Tm
0.3473 0.9544 0.6947 Tm
0.5925 0.5386 0.1850 Tm
0.9853 0.7674 0.9707 Tm
0.5000 0.0000 0.0000 Ge
0.8220 0.2288 0.6440 Bi
0.1780 0.7712 0.3560 Bi
```

Output
Magnetic moment = 0.0 μB per formula unit
Final energy = -52.249 eV for the cell shown
Energy of formation = -4.1 eV per formula unit
Fermi-level density of states = 1.124 states/eV per atom

3.
VASP calculation (PBE) on a relaxed structure of SrLa.

POSCAR file:
```
SrLa
1.0
6.2980 -0.0074 -0.0053
3.1591 5.4483 -0.0053
3.1591 1.8175 5.1362
La Sr
2 2
direct
0.1252 0.1252 0.1252 La
0.8748 0.8748 0.8748 La
0.3750 0.3750 0.3750 Sr
0.6250 0.6250 0.6250 Sr
```

Output
Magnetic moment = 0.0 μB per formula unit
Final energy = -12.475 eV for the cell shown
Energy of formation = 0.4 eV per formula unit
Fermi-level density of states = 1.159 states/eV per atom
E above lowest polymorph = 0.125 eV/atom

4.
VASP calculation (PBE) on a relaxed structure of La2TiPt.

POSCAR file:
```
La2TiPt
1.0
8.3529 0.0000 0.0000
0.0000 8.3529 0.0000
4.1764 4.1764 3.1334
Ti Pt La
2 2 4
direct
0.5000 0.5000 0.0000 Ti
0.2500 0.7500 0.5000 Ti
0.0000 0.0000 0.0000 Pt
0.7500 0.2500 0.5000 Pt
0.6645 0.1250 0.2500 La
0.0855 0.6250 0.2500 La
0.3750 0.3355 0.7500 La
0.8750 0.9145 0.7500 La
```

Output
Magnetic moment = 2.0 μB per formula unit
Final energy = -48.255 eV for the cell shown
Energy of formation = -0.3 eV per formula unit
Fermi-level density of states = 1.620 states/eV per atom
E above lowest polymorph = 0.122 eV/atom